# 1
PBE KSn2Te2, optimized geometry; distance to the lowest polymorph of the same formula = 0.051 eV per atom; total magnetic moment = 0.00 μB per formula unit; formation energy (no corrections) = -0.3596 eV per atom
1.0
-0.498 -5.504 -6.043
1.447 -1.474 7.924
-6.924 2.607 0.212
Te K Sn
4 2 4
Cartesian
-4.294 -0.653 4.150
-1.116 -2.545 2.005
-1.681 -3.717 -2.057
-4.860 -1.825 0.088
-5.317 -2.774 -3.200
-0.658 -1.596 5.293
-2.889 -0.043 1.530
0.658 -5.047 2.480
-6.633 0.677 -0.387
-3.086 -4.327 0.563

---

# 2
PBE Li3NiH3, optimized geometry; distance to the lowest polymorph of the same formula = 0.069 eV per atom; total magnetic moment = 0.00 μB per formula unit
1.0
-2.801 2.547 -1.453
-4.380 -3.975 1.474
1.749 4.223 4.033
Li Ni H
6 2 6
Cartesian
-3.359 1.241 0.163
-2.073 1.554 3.892
-0.858 1.440 1.349
-5.386 -0.600 0.842
-4.574 1.356 2.706
-0.047 3.395 3.213
-3.040 -0.609 1.963
-2.392 3.405 2.092
-3.171 0.071 3.408
-2.262 2.724 0.646
-3.971 -1.855 1.574
-1.461 4.650 2.480
-3.457 2.836 3.147
-1.976 -0.041 0.907

---

# 3
PBE LuNbFeCo, optimized geometry; total energy = -30.34 eV/cell; total magnetic moment = 1.20 μB per formula unit
1.0
-2.468 3.311 1.687
-3.977 0.949 -1.784
-3.735 -0.929 2.255
Fe Lu Nb Co
1 1 1 1
Cartesian
-2.545 0.833 0.540
-5.090 1.666 1.080
0.000 0.000 0.000
-7.635 2.499 1.619